Record 1
Here is crystalline Y2AlRe2 at its relaxed geometry from Alexandria via LeMat-Bulk. Energies are from GGA-PBE.

## Properties
**Space group**: P4/mbm, No. 127
**Theoretical density**: 8.97 g/cm3
**Total magnetization**: 0.00 μB/cell
**ΔE_f**: -0.02 eV/atom
**D(E_F)**: 11.24 states/eV per cell

Lattice parameters (Å, degrees): 6.8018 6.8018 4.6206 90.00 90.00 90.00
With the nearest neighbours (Å) after each atom.
Positions (direct):
Y 0.1758 0.6758 0.5000  6 Re 3.01-3.10
Y 0.6758 0.8242 0.5000  6 Re 3.01-3.10
Y 0.8242 0.3242 0.5000  6 Re 3.01-3.10
Y 0.3242 0.1758 0.5000  6 Re 3.01-3.10
Re 0.3761 0.8761 0.0000  1 Re 2.38
Re 0.8761 0.6239 0.0000  1 Re 2.38
Re 0.6239 0.1239 0.0000  1 Re 2.38
Re 0.1239 0.3761 0.0000  1 Re 2.38
Al 0.0000 0.0000 0.0000  4 Re 2.69
Al 0.5000 0.5000 0.0000  4 Re 2.69

Record 2
Here is crystalline YAlRe3 at its relaxed geometry from Alexandria via LeMat-Bulk. Energies are from GGA-PBE.

## Properties
**Space group**: Pm-3m, No. 221
**Theoretical density**: 10.06 g/cm3
**Total magnetization**: 2.05 μB/cell
**ΔE_f**: 3.02 eV/atom
**D(E_F)**: 5.76 states/eV per cell

Lattice parameters (Å, degrees): 4.8108 4.8108 4.8108 90.00 90.00 90.00
With the nearest neighbours (Å) after each atom.
Positions (direct):
Y 0.0000 0.0000 0.0000  6 Re 2.41
Re 0.0000 0.5000 0.0000  2 Y 2.41
Re 0.0000 0.0000 0.5000  2 Y 2.41
Re 0.5000 0.0000 0.0000  2 Y 2.41
Al 0.5000 0.5000 0.5000  12 Re 3.40

Record 3
Here is crystalline YAl2Re at its relaxed geometry from Alexandria via LeMat-Bulk. Energies are from GGA-PBE.

## Properties
**Space group**: F-43m, No. 216
**Theoretical density**: 7.63 g/cm3
**Total magnetization**: 0.00 μB/cell
**ΔE_f**: 0.09 eV/atom
**D(E_F)**: 2.59 states/eV per cell

Lattice parameters (Å, degrees): 4.6610 4.6610 4.6610 60.00 60.00 60.00
With the nearest neighbours (Å) after each atom.
Positions (direct):
Y 0.2500 0.2500 0.2500  4 Re 2.85, 4 Al 2.85
Re 0.5000 0.5000 0.5000  4 Al 2.85, 4 Y 2.85
Al 0.0000 0.0000 0.0000  4 Y 2.85, 4 Al 2.85
Al 0.7500 0.7500 0.7500  4 Re 2.85, 4 Al 2.85

Record 4
Here is crystalline Al4ZnRe at its relaxed geometry from Alexandria via LeMat-Bulk. Energies are from GGA-PBE.

## Properties
**Space group**: P2_1/m, No. 11
**Theoretical density**: 6.11 g/cm3
**Total magnetization**: 0.00 μB/cell
**ΔE_f**: -0.12 eV/atom
**D(E_F)**: 5.21 states/eV per cell

Lattice parameters (Å, degrees): 4.7153 5.0560 9.0380 90.01 65.11 90.00
With the nearest neighbours (Å) after each atom.
Positions (direct):
Al 0.3377 0.7500 0.0970  1 Re 2.53, 2 Zn 2.65-2.68
Al 0.6623 0.2500 0.9030  1 Re 2.53, 2 Zn 2.65-2.68
Al 0.7107 0.7501 0.7013  3 Re 2.66-2.76, 4 Al 2.73, 1 Zn 2.92
Al 0.2893 0.2499 0.2987  3 Re 2.66-2.76, 4 Al 2.73, 1 Zn 2.92
Al 0.2556 0.0066 0.6453  5 Al 2.46-2.73, 3 Re 2.66-2.69
Al 0.7444 0.5065 0.3548  5 Al 2.46-2.73, 3 Re 2.66-2.69
Al 0.2556 0.4935 0.6452  5 Al 2.46-2.73, 3 Re 2.66-2.69
Al 0.7444 0.9934 0.3547  5 Al 2.46-2.73, 3 Re 2.66-2.69
Zn 0.9630 0.7500 0.9463  5 Al 2.65-2.92, 2 Zn 2.78
Zn 0.0370 0.2500 0.0537  5 Al 2.65-2.92, 2 Zn 2.78
Re 0.2116 0.7500 0.3986  10 Al 2.53-2.76
Re 0.7884 0.2500 0.6014  10 Al 2.53-2.76

Record 5
Here is crystalline Al6Zn2Re at its relaxed geometry from Alexandria via LeMat-Bulk. Energies are from GGA-PBE.

## Properties
**Space group**: C2/m, No. 12
**Theoretical density**: 5.65 g/cm3
**Total magnetization**: 0.00 μB/cell
**ΔE_f**: -0.01 eV/atom
**D(E_F)**: 2.97 states/eV per cell

Lattice parameters (Å, degrees): 4.8270 7.2324 4.7503 98.46 120.54 90.00
With the nearest neighbours (Å) after each atom.
Positions (direct):
Al 0.3916 0.8305 0.7833  6 Al 2.64-2.81, 1 Re 2.69, 3 Zn 2.75-2.77
Al 0.6084 0.1695 0.2167  6 Al 2.64-2.81, 1 Re 2.69, 3 Zn 2.75-2.77
Al 0.7140 0.8253 0.4280  5 Al 2.64-2.81, 1 Re 2.68, 4 Zn 2.75-2.86
Al 0.1668 0.5025 0.3336  2 Zn 2.70-2.75, 5 Al 2.71-2.77, 3 Re 2.73-2.77
Al 0.2860 0.1747 0.5720  5 Al 2.64-2.81, 1 Re 2.68, 4 Zn 2.75-2.86
Al 0.8332 0.4975 0.6664  2 Zn 2.70-2.75, 5 Al 2.71-2.77, 3 Re 2.73-2.77
Zn 0.9471 0.1684 0.8943  9 Al 2.70-2.86, 1 Zn 2.72
Zn 0.0529 0.8316 0.1057  9 Al 2.70-2.86, 1 Zn 2.72
Re 0.5000 0.5000 0.0000  10 Al 2.68-2.77

Record 6
Here is crystalline Al2ZnRe at its relaxed geometry from Alexandria via LeMat-Bulk. Energies are from GGA-PBE.

## Properties
**Space group**: P2/m, No. 10
**Theoretical density**: 8.60 g/cm3
**Total magnetization**: 0.00 μB/cell
**ΔE_f**: 0.00 eV/atom
**D(E_F)**: 0.95 states/eV per cell

Lattice parameters (Å, degrees): 4.2769 2.6857 5.2089 80.35 90.00 90.00
With the nearest neighbours (Å) after each atom.
Positions (direct):
Re 0.5000 0.2500 0.2500  2 Re 2.69, 2 Zn 2.72, 8 Al 2.73-2.94
Zn 0.5000 0.7500 0.7500  4 Al 2.59, 2 Zn 2.69, 2 Re 2.72
Al 0.0000 0.9128 0.0028  3 Al 2.58-2.69, 2 Zn 2.59, 2 Re 2.73
Al 0.0000 0.5872 0.4972  3 Al 2.58-2.69, 2 Zn 2.59, 2 Re 2.73

Record 7
Here is crystalline Al2ZnRe at its relaxed geometry from Alexandria via LeMat-Bulk. Energies are from GGA-PBE.

## Properties
**Space group**: R-3m, No. 166
**Theoretical density**: 8.31 g/cm3
**Total magnetization**: 0.00 μB/cell
**ΔE_f**: -0.01 eV/atom
**D(E_F)**: 2.84 states/eV per cell

Lattice parameters (Å, degrees): 8.6697 8.6697 8.6697 19.11 19.11 19.11
With the nearest neighbours (Å) after each atom.
Positions (direct):
Re 0.2500 0.2500 0.2500  6 Al 2.66, 6 Re 2.88
Zn 0.7500 0.7500 0.7500  6 Al 2.73, 6 Zn 2.88
Al 0.9983 0.9983 0.9983  3 Re 2.66, 3 Zn 2.73, 6 Al 2.88
Al 0.5017 0.5017 0.5017  3 Re 2.66, 3 Zn 2.73, 6 Al 2.88

Record 8
Here is crystalline Al2ZnRe at its relaxed geometry from Alexandria via LeMat-Bulk. Energies are from GGA-PBE.

## Properties
**Space group**: C2/m, No. 12
**Theoretical density**: 8.46 g/cm3
**Total magnetization**: 0.00 μB/cell
**ΔE_f**: -0.02 eV/atom
**D(E_F)**: 2.03 states/eV per cell

Lattice parameters (Å, degrees): 4.7956 4.7956 4.8449 83.78 83.78 32.79
With the nearest neighbours (Å) after each atom.
Positions (direct):
Re 0.2500 0.2500 0.2500  2 Re 2.71, 6 Al 2.73-2.78, 4 Zn 2.78
Zn 0.7500 0.7500 0.7500  6 Al 2.66-2.91, 2 Zn 2.71, 4 Re 2.78
Al 0.9897 0.9897 0.0102  3 Zn 2.66-2.91, 6 Al 2.71-2.85, 3 Re 2.73-2.78
Al 0.5103 0.5103 0.4898  3 Zn 2.66-2.91, 6 Al 2.71-2.85, 3 Re 2.73-2.78

Record 9
Here is crystalline Al4ZnRe at its relaxed geometry from Alexandria via LeMat-Bulk. Energies are from GGA-PBE.

## Properties
**Space group**: F-43m, No. 216
**Theoretical density**: 6.60 g/cm3
**Total magnetization**: 0.00 μB/cell
**ΔE_f**: 0.12 eV/atom
**D(E_F)**: 2.29 states/eV per cell

Lattice parameters (Å, degrees): 5.0382 5.0382 5.0382 60.00 60.00 60.00
With the nearest neighbours (Å) after each atom.
Positions (direct):
Al 0.8732 0.3756 0.3756  6 Al 2.51-2.53
Al 0.3756 0.3756 0.8732  6 Al 2.51-2.53
Al 0.3756 0.8732 0.3756  6 Al 2.51-2.53
Al 0.3756 0.3756 0.3756  6 Al 2.51-2.53
Zn 0.0000 0.0000 0.0000  12 Al 2.96, 4 Re 3.09
Re 0.7500 0.7500 0.7500  12 Al 2.95, 4 Zn 3.09

Record 10
Here is crystalline AlZnRe2 at its relaxed geometry from Alexandria via LeMat-Bulk. Energies are from GGA-PBE.

## Properties
**Space group**: P4mm, No. 99
**Theoretical density**: 13.30 g/cm3
**Total magnetization**: 0.00 μB/cell
**ΔE_f**: -0.10 eV/atom
**D(E_F)**: 2.04 states/eV per cell

Lattice parameters (Å, degrees): 3.0593 3.0593 6.2012 90.00 90.00 90.00
With the nearest neighbours (Å) after each atom.
Positions (direct):
Re 0.0000 0.0000 0.0013  4 Re 2.64, 4 Al 2.67
Re 0.5000 0.5000 0.2446  4 Re 2.64, 4 Zn 2.70
Zn 0.0000 0.0000 0.5057  4 Al 2.64, 4 Re 2.70
Al 0.5000 0.5000 0.7484  4 Zn 2.64, 4 Re 2.67

Record 11
Here is crystalline Al2ZnRe at its relaxed geometry from Alexandria via LeMat-Bulk. Energies are from GGA-PBE.

## Properties
**Space group**: Cmmm, No. 65
**Theoretical density**: 8.32 g/cm3
**Total magnetization**: 0.00 μB/cell
**ΔE_f**: 0.08 eV/atom
**D(E_F)**: 1.79 states/eV per cell

Lattice parameters (Å, degrees): 2.7631 2.7631 8.3810 90.00 90.00 107.50
With the nearest neighbours (Å) after each atom.
Positions (direct):
Re 0.5000 0.5000 0.2500  4 Al 2.61, 4 Re 2.76
Zn 0.5000 0.5000 0.7500  4 Al 2.71, 4 Zn 2.76
Al 0.0000 0.0000 0.0078  2 Re 2.61, 2 Zn 2.71, 4 Al 2.76
Al 0.0000 0.0000 0.4922  2 Re 2.61, 2 Zn 2.71, 4 Al 2.76

Record 12
Here is crystalline Al2ZnRe at its relaxed geometry from Alexandria via LeMat-Bulk. Energies are from GGA-PBE.

## Properties
**Space group**: P4/mmm, No. 123
**Theoretical density**: 8.26 g/cm3
**Total magnetization**: 0.00 μB/cell
**ΔE_f**: 0.04 eV/atom
**D(E_F)**: 2.74 states/eV per cell

Lattice parameters (Å, degrees): 2.7819 2.7819 7.9427 90.00 90.00 90.00
With the nearest neighbours (Å) after each atom.
Positions (direct):
Re 0.5000 0.5000 0.2500  8 Al 2.71, 4 Re 2.78
Zn 0.5000 0.5000 0.7500  4 Zn 2.78, 8 Al 2.88
Al 0.0000 0.0000 0.0153  4 Re 2.71, 4 Al 2.78, 4 Zn 2.88
Al 0.0000 0.0000 0.4847  4 Re 2.71, 4 Al 2.78, 4 Zn 2.88

Record 13
Here is crystalline AlZnRe2 at its relaxed geometry from Alexandria via LeMat-Bulk. Energies are from GGA-PBE.

## Properties
**Space group**: Cm, No. 8
**Theoretical density**: 13.20 g/cm3
**Total magnetization**: 0.00 μB/cell
**ΔE_f**: 0.10 eV/atom
**D(E_F)**: 2.58 states/eV per cell

Lattice parameters (Å, degrees): 4.8054 4.8054 4.5436 75.79 75.79 35.23
With the nearest neighbours (Å) after each atom.
Positions (direct):
Re 0.0039 0.0039 0.0031  5 Re 2.64-2.91, 3 Al 2.69-2.79, 4 Zn 2.70
Re 0.7436 0.7436 0.7459  5 Re 2.64-2.91, 4 Al 2.69-2.71, 3 Zn 2.72-2.74
Zn 0.4973 0.4973 0.5073  7 Re 2.70-2.74, 3 Al 2.77-2.78, 2 Zn 2.91
Al 0.2552 0.2552 0.2436  7 Re 2.69-2.79, 3 Zn 2.77-2.78, 2 Al 2.91

Record 14
Here is crystalline AlZnRe2 at its relaxed geometry from Alexandria via LeMat-Bulk. Energies are from GGA-PBE.

## Properties
**Space group**: P2/m, No. 10
**Theoretical density**: 13.14 g/cm3
**Total magnetization**: 0.00 μB/cell
**ΔE_f**: 0.13 eV/atom
**D(E_F)**: 2.54 states/eV per cell

Lattice parameters (Å, degrees): 4.3134 2.6912 5.1296 80.55 90.00 90.00
With the nearest neighbours (Å) after each atom.
Positions (direct):
Re 0.0000 0.9936 0.0018  2 Al 2.65, 2 Zn 2.65, 4 Re 2.67-2.72
Re 0.0000 0.5064 0.4982  2 Al 2.65, 2 Zn 2.65, 4 Re 2.67-2.72
Zn 0.5000 0.2500 0.2500  4 Re 2.65, 2 Zn 2.69, 2 Al 2.69
Al 0.5000 0.7500 0.7500  4 Re 2.65, 2 Al 2.69, 2 Zn 2.69

Record 15
Here is crystalline AlZnRe2 at its relaxed geometry from Alexandria via LeMat-Bulk. Energies are from GGA-PBE.

## Properties
**Space group**: P4/mmm, No. 123
**Theoretical density**: 13.55 g/cm3
**Total magnetization**: 0.00 μB/cell
**ΔE_f**: 0.29 eV/atom
**D(E_F)**: 3.53 states/eV per cell

Lattice parameters (Å, degrees): 4.3170 4.3170 3.0554 90.00 90.00 90.00
With the nearest neighbours (Å) after each atom.
Positions (direct):
Re 0.0000 0.0000 0.0000  4 Al 2.64, 4 Zn 2.64
Re 0.5000 0.5000 0.0000  4 Al 2.64, 4 Zn 2.64
Zn 0.5000 0.0000 0.5000  8 Re 2.64
Al 0.0000 0.5000 0.5000  8 Re 2.64

Record 16
Here is crystalline Al2ZnRe at its relaxed geometry from Alexandria via LeMat-Bulk. Energies are from GGA-PBE.

## Properties
**Space group**: Imm2, No. 44
**Theoretical density**: 8.80 g/cm3
**Total magnetization**: 0.00 μB/cell
**ΔE_f**: -0.16 eV/atom
**D(E_F)**: 1.07 states/eV per cell

Lattice parameters (Å, degrees): 4.9649 4.9649 4.9649 139.96 132.09 64.16
With the nearest neighbours (Å) after each atom.
Positions (direct):
Re 0.4991 0.4991 0.0000  8 Al 2.64-2.93, 4 Zn 2.70-2.91
Zn 0.2491 0.7491 0.5000  8 Al 2.64-2.95, 4 Re 2.70-2.91
Al 0.0052 0.0052 0.0000  4 Re 2.64, 4 Zn 2.66-2.95, 4 Al 2.76-2.86
Al 0.7465 0.2465 0.5000  4 Zn 2.64, 4 Re 2.69-2.93, 4 Al 2.76-2.86

Record 17
Here is crystalline Al2ZnRe at its relaxed geometry from Alexandria via LeMat-Bulk. Energies are from GGA-PBE.

## Properties
**Space group**: Cmmm, No. 65
**Theoretical density**: 8.64 g/cm3
**Total magnetization**: 0.00 μB/cell
**ΔE_f**: -0.04 eV/atom
**D(E_F)**: 2.84 states/eV per cell

Lattice parameters (Å, degrees): 4.7030 4.7030 2.7870 90.01 90.01 107.65
With the nearest neighbours (Å) after each atom.
Positions (direct):
Re 0.5000 0.0000 0.5000  8 Al 2.73, 2 Zn 2.78, 2 Re 2.79
Zn 0.0000 0.5000 0.5000  8 Al 2.73, 2 Re 2.78, 2 Zn 2.79
Al 0.0000 0.0000 0.0000  4 Re 2.73, 4 Zn 2.73, 4 Al 2.78-2.79
Al 0.5000 0.5000 0.0000  4 Zn 2.73, 4 Re 2.73, 4 Al 2.78-2.79

Record 18
Here is crystalline AlZnRe2 at its relaxed geometry from Alexandria via LeMat-Bulk. Energies are from GGA-PBE.

## Properties
**Space group**: R-3m, No. 166
**Theoretical density**: 13.10 g/cm3
**Total magnetization**: 0.00 μB/cell
**ΔE_f**: 0.10 eV/atom
**D(E_F)**: 3.74 states/eV per cell

Lattice parameters (Å, degrees): 8.9606 8.9606 8.9606 17.84 17.84 17.84
With the nearest neighbours (Å) after each atom.
Positions (direct):
Re 0.0011 0.0011 0.0011  3 Al 2.70, 3 Zn 2.75, 6 Re 2.78
Re 0.4989 0.4989 0.4989  3 Al 2.70, 3 Zn 2.75, 6 Re 2.78
Zn 0.2500 0.2500 0.2500  6 Re 2.75, 6 Zn 2.78
Al 0.7500 0.7500 0.7500  6 Re 2.70, 6 Al 2.78

Record 19
Here is crystalline Al2ZnRe at its relaxed geometry from Alexandria via LeMat-Bulk. Energies are from GGA-PBE.

## Properties
**Space group**: Pmm2, No. 25
**Theoretical density**: 8.61 g/cm3
**Total magnetization**: 0.00 μB/cell
**ΔE_f**: -0.12 eV/atom
**D(E_F)**: 2.14 states/eV per cell

Lattice parameters (Å, degrees): 4.5980 2.7093 4.7334 90.00 90.00 90.00
With the nearest neighbours (Å) after each atom.
Positions (direct):
Re 0.0000 0.6251 0.4526  8 Al 2.71-2.76, 2 Re 2.71, 2 Zn 2.82
Zn 0.5000 0.6248 0.7978  2 Zn 2.71, 8 Al 2.71-2.76, 2 Re 2.82
Al 0.0000 0.1251 0.9482  4 Re 2.71-2.74, 4 Al 2.71-2.84, 4 Zn 2.76
Al 0.5000 0.1250 0.3014  4 Al 2.71-2.84, 4 Zn 2.71-2.74, 4 Re 2.76

Record 20
Here is crystalline Al6Zn2Re at its relaxed geometry from Alexandria via LeMat-Bulk. Energies are from GGA-PBE.

## Properties
**Space group**: P4_2/mnm, No. 136
**Theoretical density**: 4.13 g/cm3
**Total magnetization**: 0.00 μB/cell
**ΔE_f**: 0.45 eV/atom
**D(E_F)**: 10.00 states/eV per cell

Lattice parameters (Å, degrees): 5.3641 5.3641 13.3997 90.00 90.00 90.00
With the nearest neighbours (Å) after each atom.
Positions (direct):
Al 0.6803 0.6803 0.1500  1 Re 2.43, 2 Zn 2.46-2.66
Al 0.6803 0.6803 0.8500  1 Re 2.43, 2 Zn 2.46-2.66
Al 0.6760 0.6760 0.5000  1 Re 2.46, 1 Al 2.67, 2 Zn 2.75
Al 0.8240 0.1760 0.0000  1 Re 2.46, 1 Al 2.67, 2 Zn 2.75
Al 0.8197 0.1803 0.3500  1 Re 2.43, 2 Zn 2.46-2.66
Al 0.8197 0.1803 0.6500  1 Re 2.43, 2 Zn 2.46-2.66
Al 0.1803 0.8197 0.3500  1 Re 2.43, 2 Zn 2.46-2.66
Al 0.1803 0.8197 0.6500  1 Re 2.43, 2 Zn 2.46-2.66
Al 0.1760 0.8240 0.0000  1 Re 2.46, 1 Al 2.67, 2 Zn 2.75
Al 0.3240 0.3240 0.5000  1 Re 2.46, 1 Al 2.67, 2 Zn 2.75
Al 0.3197 0.3197 0.1500  1 Re 2.43, 2 Zn 2.46-2.66
Al 0.3197 0.3197 0.8500  1 Re 2.43, 2 Zn 2.46-2.66
Zn 0.5000 0.5000 0.3205  6 Al 2.46-2.75
Zn 0.5000 0.5000 0.6795  6 Al 2.46-2.75
Zn 0.0000 0.0000 0.1795  6 Al 2.46-2.75
Zn 0.0000 0.0000 0.8205  6 Al 2.46-2.75
Re 0.5000 0.5000 0.0000  6 Al 2.43-2.46
Re 0.0000 0.0000 0.5000  6 Al 2.43-2.46